## CdWN2 (PBE)

Data for an optimized crystal structure of CdWN2.

```
CdWN2
1.0
1.735 0.000 7.131
-0.868 1.503 7.131
-0.868 -1.503 7.131
N W Cd
2 1 1
Direct
0.886 0.886 0.886 N
0.114 0.114 0.114 N
0.500 0.500 0.500 W
0.000 0.000 0.000 Cd
```

Computed properties:
ΔE_f (raw) in eV per atom: -0.011
Crystal system: trigonal

***

## Tb6ErIn (PBE)

Data for an optimized crystal structure of Tb6ErIn.

```
Tb6ErIn
1.0
-4.189 1.504 2.068
-0.435 -4.331 2.268
5.148 3.580 7.825
Tb Er In
6 1 1
Direct
0.500 0.500 0.000 Tb
0.500 0.500 0.500 Tb
0.500 0.000 0.245 Tb
0.500 0.000 0.755 Tb
0.000 0.500 0.245 Tb
0.000 0.500 0.755 Tb
0.000 0.000 0.500 Er
0.000 0.000 0.000 In
```

Computed properties:
Formation enthalpy at 0 K in eV per formula unit: -0.95
Crystal system: tetragonal
Energy above the most stable polymorph in this dataset in kcal/mol of atoms: 0.00

***

## MnCoP2 (PBE)

Data for an optimized crystal structure of MnCoP2.

```
MnCoP2
1.0
4.166 -0.001 -0.001
3.162 2.712 -0.001
0.856 0.317 3.909
Co Mn P
1 1 2
Direct
0.487 0.487 0.574 Co
0.265 0.265 0.163 Mn
0.992 0.992 0.071 P
0.755 0.755 0.692 P
```

Computed properties:
Formation enthalpy at 0 K in eV per formula unit: -1.43
Crystal system: monoclinic
Energy above the most stable polymorph in this dataset in kcal/mol of atoms: 5.81

***

## Pr6Zn5In (PBE)

Data for an optimized crystal structure of Pr6Zn5In.

```
Pr6Zn5In
1.0
5.181 0.002 -1.091
-0.003 7.502 -0.001
-0.973 0.000 8.351
Pr Zn In
6 5 1
Direct
0.831 0.745 0.659 Pr
0.831 0.255 0.659 Pr
0.500 0.260 0.000 Pr
0.500 0.740 0.000 Pr
0.169 0.745 0.341 Pr
0.169 0.255 0.341 Pr
0.664 0.500 0.331 Zn
0.338 0.000 0.671 Zn
0.000 0.500 0.000 Zn
0.662 0.000 0.329 Zn
0.336 0.500 0.669 Zn
0.000 0.000 0.000 In
```

Computed properties:
Formation enthalpy at 0 K in eV per formula unit: -3.86
Crystal system: monoclinic

***

## KCo4Se8 (PBE)

Data for an optimized crystal structure of KCo4Se8.

```
KCo4Se8
1.0
6.843 0.000 0.000
3.421 5.926 0.000
3.421 1.975 8.298
K Co Se
1 4 8
Direct
0.500 0.500 0.500 K
0.000 0.500 0.000 Co
0.500 0.500 0.000 Co
0.500 0.000 0.000 Co
0.000 0.000 0.000 Co
0.720 0.220 0.841 Se
0.780 0.280 0.159 Se
0.280 0.780 0.159 Se
0.780 0.780 0.159 Se
0.720 0.720 0.840 Se
0.280 0.280 0.160 Se
0.220 0.220 0.841 Se
0.220 0.720 0.841 Se
```

Computed properties:
ΔE_f (raw) in eV per atom: -0.398
Crystal system: trigonal

***

## CdCu2Cl (PBE)

Data for an optimized crystal structure of CdCu2Cl.

```
CdCu2Cl
1.0
5.685 0.079 0.000
3.093 4.771 0.000
-4.389 -2.425 2.680
Cl Cu Cd
1 2 1
Direct
0.750 0.250 0.500 Cl
0.000 0.000 0.000 Cu
0.500 0.500 0.000 Cu
0.250 0.750 0.500 Cd
```

Computed properties:
ΔE_f (raw) in eV per atom: 0.291
Crystal system: tetragonal
Energy above the most stable polymorph in this dataset in kcal/mol of atoms: 8.00

***

## Mg2CoGeAu (PBE)

Data for an optimized crystal structure of Mg2CoGeAu.

```
Mg2CoGeAu
1.0
-4.190 2.151 -1.744
-1.812 -4.335 -0.994
-2.019 -0.209 4.593
Co Ge Au Mg
1 1 1 2
Direct
0.500 0.500 0.500 Co
0.000 0.000 0.000 Ge
0.000 0.500 0.000 Au
0.000 0.000 0.500 Mg
0.500 0.000 0.000 Mg
```

Computed properties:
Formation enthalpy at 0 K in eV per formula unit: 3.45
Crystal system: tetragonal

***

## MgAlO (PBE)

Data for an optimized crystal structure of MgAlO.

```
MgAlO
1.0
4.910 0.000 0.006
0.000 2.967 0.000
-3.278 0.000 12.621
Mg Al O
4 4 4
Direct
0.672 0.000 0.465 Mg
0.672 0.500 0.965 Mg
0.584 0.000 0.732 Mg
0.584 0.500 0.232 Mg
0.111 0.000 0.883 Al
0.111 0.500 0.383 Al
0.160 0.000 0.089 Al
0.160 0.500 0.589 Al
0.908 0.000 0.318 O
0.908 0.500 0.818 O
0.462 0.000 0.872 O
0.462 0.500 0.372 O
```

Computed properties:
ΔE_f (raw) in eV per atom: -1.473
Crystal system: monoclinic
Energy above the most stable polymorph in this dataset in kcal/mol of atoms: 1.41

***

## NdEr2ThP4 (PBE)

Data for an optimized crystal structure of NdEr2ThP4.

```
NdEr2ThP4
1.0
-3.638 1.433 1.130
-2.677 -1.914 -6.193
-2.460 -6.587 0.436
Nd Er Th P
1 2 1 4
Direct
0.500 0.500 0.000 Nd
0.000 0.000 0.000 Er
0.500 0.000 0.500 Er
0.000 0.500 0.500 Th
0.000 0.761 0.744 P
0.000 0.239 0.256 P
0.500 0.760 0.248 P
0.500 0.240 0.752 P
```

Computed properties:
Formation enthalpy at 0 K in eV per formula unit: -12.73
Crystal system: monoclinic

***

## CdTe2Mo (PBE)

Data for an optimized crystal structure of CdTe2Mo.

```
CdTe2Mo
1.0
5.165 0.000 0.000
2.583 4.473 0.000
2.583 1.491 4.217
Cd Mo Te
1 1 2
Direct
0.500 0.500 0.500 Cd
0.750 0.750 0.750 Mo
0.000 0.000 0.000 Te
0.250 0.250 0.250 Te
```

Computed properties:
ΔE_f (raw) in eV per atom: 0.786
Crystal system: cubic

***

## LaScAl2Pd5 (PBE)

Data for an optimized crystal structure of LaScAl2Pd5.

```
LaScAl2Pd5
1.0
-0.517 -4.121 0.713
0.397 -0.764 -4.125
9.233 -0.973 1.069
La Sc Al Pd
1 1 2 5
Direct
0.000 0.000 0.500 La
0.000 0.000 0.000 Sc
0.500 0.500 0.134 Al
0.500 0.500 0.866 Al
0.000 0.500 0.267 Pd
0.500 0.000 0.267 Pd
0.000 0.500 0.733 Pd
0.500 0.000 0.733 Pd
0.500 0.500 0.500 Pd
```

Computed properties:
Formation enthalpy at 0 K in eV per formula unit: -6.60
Crystal system: tetragonal

***

## Tb14PmPr (PBE)

Data for an optimized crystal structure of Tb14PmPr.

```
Tb14PmPr
1.0
-2.346 0.282 6.777
4.720 -5.043 -1.949
8.712 7.102 2.721
Tb Pm Pr
14 1 1
Direct
0.042 0.958 0.000 Tb
0.542 0.458 0.000 Tb
0.208 0.292 0.500 Tb
0.042 0.458 0.000 Tb
0.708 0.792 0.500 Tb
0.542 0.958 0.000 Tb
0.375 0.125 0.753 Tb
0.375 0.125 0.247 Tb
0.875 0.625 0.753 Tb
0.875 0.625 0.247 Tb
0.375 0.625 0.751 Tb
0.375 0.625 0.249 Tb
0.875 0.125 0.752 Tb
0.875 0.125 0.248 Tb
0.208 0.792 0.500 Pm
0.708 0.292 0.500 Pr
```

Computed properties:
Formation enthalpy at 0 K in eV per formula unit: 0.05
Crystal system: orthorhombic

***

## ErGaPtAu (PBE)

Data for an optimized crystal structure of ErGaPtAu.

```
ErGaPtAu
1.0
4.751 0.000 0.000
2.376 4.115 0.000
2.376 1.372 3.880
Au Ga Pt Er
1 1 1 1
Direct
0.250 0.250 0.250 Au
0.500 0.500 0.500 Ga
0.750 0.750 0.750 Pt
0.000 0.000 0.000 Er
```

Computed properties:
Formation enthalpy at 0 K in eV per formula unit: -3.14
Crystal system: cubic

***

## SrLa2Os (PBE)

Data for an optimized crystal structure of SrLa2Os.

```
SrLa2Os
1.0
5.035 -0.024 0.000
0.033 5.035 0.000
0.000 0.000 4.409
La Os Sr
2 1 1
Direct
0.000 0.000 0.000 La
0.500 0.500 0.000 La
0.500 0.000 0.500 Os
0.000 0.500 0.500 Sr
```

Computed properties:
Formation enthalpy at 0 K in eV per formula unit: 1.75
Crystal system: orthorhombic
Energy above the most stable polymorph in this dataset in kcal/mol of atoms: 11.52

***

## PmNd2Sm (PBE)

Data for an optimized crystal structure of PmNd2Sm.

```
PmNd2Sm
1.0
5.813 0.000 0.000
2.906 5.034 0.000
2.906 1.678 4.746
Nd Sm Pm
2 1 1
Direct
0.250 0.250 0.250 Nd
0.750 0.750 0.750 Nd
0.500 0.500 0.500 Sm
0.000 0.000 0.000 Pm
```

Computed properties:
Formation enthalpy at 0 K in eV per formula unit: 0.54
Crystal system: cubic
Energy above the most stable polymorph in this dataset in kcal/mol of atoms: 2.84

***

## Ba2Mg4InPb3 (PBE)

Data for an optimized crystal structure of Ba2Mg4InPb3.

```
Ba2Mg4InPb3
1.0
4.964 0.000 0.000
0.000 4.964 0.000
0.000 0.000 12.499
Ba Mg In Pb
2 4 1 3
Direct
0.500 0.000 0.251 Ba
0.000 0.500 0.749 Ba
0.500 0.500 0.000 Mg
0.000 0.000 0.000 Mg
0.500 0.000 0.633 Mg
0.000 0.500 0.367 Mg
0.500 0.500 0.500 In
0.000 0.000 0.500 Pb
0.500 0.000 0.864 Pb
0.000 0.500 0.136 Pb
```

Computed properties:
Formation enthalpy at 0 K in eV per formula unit: -3.64
Crystal system: tetragonal

***

## Cs2Hg2PtCl4 (PBE)

Data for an optimized crystal structure of Cs2Hg2PtCl4.

```
Cs2Hg2PtCl4
1.0
7.403 0.221 0.319
-3.360 6.601 -0.319
-3.360 -2.617 6.068
Cs Hg Pt Cl
2 2 1 4
Direct
0.500 0.750 0.250 Cs
0.500 0.250 0.750 Cs
0.000 0.672 0.672 Hg
0.000 0.328 0.328 Hg
0.000 0.000 0.000 Pt
0.000 0.791 0.209 Cl
0.582 0.791 0.791 Cl
0.000 0.209 0.791 Cl
0.418 0.209 0.209 Cl
```

Computed properties:
ΔE_f (raw) in eV per atom: -1.031
Crystal system: tetragonal

***

## Ac6Hg2Os (PBE)

Data for an optimized crystal structure of Ac6Hg2Os.

```
Ac6Hg2Os
1.0
7.623 0.000 0.170
0.000 8.129 0.000
-0.697 0.000 11.278
Ac Hg Os
12 4 2
Direct
0.875 0.975 0.252 Ac
0.819 0.694 0.559 Ac
0.808 0.693 0.944 Ac
0.692 0.193 0.556 Ac
0.681 0.194 0.941 Ac
0.625 0.475 0.248 Ac
0.125 0.025 0.748 Ac
0.181 0.306 0.441 Ac
0.192 0.307 0.056 Ac
0.308 0.807 0.444 Ac
0.319 0.806 0.059 Ac
0.375 0.525 0.752 Ac
0.955 0.405 0.761 Hg
0.545 0.905 0.739 Hg
0.455 0.095 0.261 Hg
0.045 0.595 0.239 Hg
0.500 0.500 0.000 Os
0.000 0.000 0.500 Os
```

Computed properties:
Formation enthalpy at 0 K in eV per formula unit: -2.02
Crystal system: monoclinic

***

## ReSeBr2 (PBE)

Data for an optimized crystal structure of ReSeBr2.

```
ReSeBr2
1.0
-1.395 -0.897 -2.935
3.290 0.461 0.571
1.011 -10.666 2.779
Br Re Se
2 1 1
Direct
0.000 0.000 0.994 Br
0.500 0.500 0.319 Br
0.000 0.000 0.510 Re
0.500 0.500 0.677 Se
```

Computed properties:
ΔE_f (raw) in eV per atom: 0.493
Crystal system: orthorhombic
Energy above the most stable polymorph in this dataset in kcal/mol of atoms: 10.37

***

## Fe2CuMoH (PBE)

Data for an optimized crystal structure of Fe2CuMoH.

```
Fe2CuMoH
1.0
3.786 0.000 0.000
0.000 3.786 0.000
0.000 0.000 3.486
H Mo Fe Cu
1 1 2 1
Direct
0.000 0.000 0.000 H
0.500 0.500 0.500 Mo
0.000 0.500 0.000 Fe
0.500 0.000 0.000 Fe
0.000 0.000 0.500 Cu
```

Computed properties:
Crystal system: tetragonal
Energy above the most stable polymorph in this dataset in kcal/mol of atoms: 0.40

***

| no. | calculated density (g cm⁻³) |
| --- | --- |
| 1 | 9.7 |
| 2 | 8.5 |
| 3 | 6.6 |
| 4 | 6.8 |
| 5 | 4.5 |
| 6 | 6.3 |
| 7 | 5.2 |
| 8 | 2.4 |
| 9 | 7.3 |
| 10 | 7.9 |
| 11 | 7.7 |
| 12 | 8.1 |
| 13 | 13.8 |
| 14 | 8.3 |
| 15 | 7.0 |
| 16 | 6.0 |
| 17 | 5.5 |
| 18 | 9.3 |
| 19 | 6.9 |
| 20 | 9.0 |